Record 1
Entry from Alexandria via LeMat-Bulk: crystalline Ce4TlAg at its relaxed geometry (GGA-PBE).

Calculated values
- Formation enthalpy at 0 K: -0.07 eV per atom
- Final energy: -4.893 eV per atom
- Calculated density: 10.0 g/cm³
- Space group: Immm

Unit cell a=6.1593 b=6.1593 c=6.1593 alpha=131.12 beta=79.71 gamma=121.40
Each line ends with the local moment (μB).
Element x y z (fractional)
1 Ce 0.0607 0.7376 0.3231  0.39
2 Ce 0.9393 0.2624 0.6769  0.39
3 Ce 0.5855 0.2624 0.3231  0.39
4 Ce 0.4145 0.7376 0.6769  0.39
5 Tl 0.5000 0.5000 0.0000  -0.01
6 Ag 0.0000 0.0000 0.0000  0.01

Record 2
Entry from Alexandria via LeMat-Bulk: crystalline Ce4Tl5Ag2 at its relaxed geometry (GGA-PBE).

Calculated values
- Formation enthalpy at 0 K: -0.18 eV per atom
- Final energy: -3.931 eV per atom
- Calculated density: 10.1 g/cm³
- Space group: P2/m

Unit cell a=3.3570 b=8.2865 c=10.6670 alpha=94.29 beta=90.00 gamma=90.00
Each line ends with the local moment (μB).
Element x y z (fractional)
1 Ce 0.5000 0.7298 0.5581  0.94
2 Ce 0.5000 0.2702 0.4419  0.94
3 Ce 0.5000 0.1660 0.8805  0.94
4 Ce 0.5000 0.8340 0.1195  0.94
5 Tl 0.0000 0.5000 0.0000  0.00
6 Tl 0.0000 0.8127 0.8351  0.00
7 Tl 0.0000 0.4317 0.6975  0.00
8 Tl 0.0000 0.5683 0.3025  0.00
9 Tl 0.0000 0.1873 0.1649  0.00
10 Ag 0.0000 0.9425 0.3700  0.01
11 Ag 0.0000 0.0575 0.6300  0.01

Record 3
Entry from Alexandria via LeMat-Bulk: crystalline Ce3Tl4Ag2 at its relaxed geometry (GGA-PBE).

Calculated values
- Formation enthalpy at 0 K: -0.19 eV per atom
- Final energy: -3.852 eV per atom
- Calculated density: 10.3 g/cm³
- Space group: C2/m

Unit cell a=5.1258 b=6.1702 c=9.5313 alpha=118.58 beta=90.00 gamma=114.54
Each line ends with the local moment (μB).
Element x y z (fractional)
1 Tl 0.2803 0.5605 0.9366  0.00
2 Tl 0.9380 0.8760 0.6165  0.00
3 Tl 0.0620 0.1240 0.3835  0.00
4 Tl 0.7197 0.4395 0.0634  0.00
5 Ce 0.3474 0.6947 0.3450  -0.89
6 Ce 0.6526 0.3053 0.6550  -0.89
7 Ce 0.0000 0.0000 0.0000  0.80
8 Ag 0.6160 0.2320 0.2828  0.00
9 Ag 0.3840 0.7680 0.7172  0.00